BaHf3O: relaxed, PBEsol.

Cell and atoms, written as POSCAR:
```
BaHf3O
1.0
4.6226 0.0000 0.0000
0.0000 4.6226 0.0000
0.0000 0.0000 4.6226
Ba Hf O
1 3 1
Direct
0.0000 0.0000 0.0000
0.0000 0.5000 0.5000
0.5000 0.0000 0.5000
0.5000 0.5000 0.0000
0.5000 0.5000 0.5000
```

Output
**VASP energy**: -8.178 eV/atom
**Space group**: No. 221
**Uncorrected formation energy**: -396 meV per atom
**Size of the total moment**: 0.000 μB/atom
**V**: 19.8 Å³/atom